Run a
ScFeSe2 | PBE | relaxed

Results
**Total moment**: 2.93 μB/cell
**Volume**: 17.606 A^3/atom
**DOS at the Fermi energy**: 1.73 states/eV per cell

a = 4.583 Å, b = 4.583 Å, c = 3.353 Å
α = 90.00°, β = 90.00°, γ = 90.00°
Element x y z (fractional)
Sc (0.000, 0.000, 0.000)
Fe (0.500, 0.500, 0.000)
Se (0.000, 0.500, 0.500)
Se (0.500, 0.000, 0.500)



Run b
ScFeSe2 | PBE | relaxed

Results
**Total moment**: 5.69 μB/cell
**Volume**: 19.607 A^3/atom
**DOS at the Fermi energy**: 7.62 states/eV per cell

a = 3.585 Å, b = 3.534 Å, c = 12.381 Å
α = 90.00°, β = 90.00°, γ = 90.00°
Element x y z (fractional)
Sc (0.000, 0.000, 0.000)
Sc (0.000, 0.500, 0.500)
Fe (0.500, 0.000, 0.791)
Fe (0.500, 0.500, 0.291)
Se (0.000, 0.000, 0.333)
Se (0.000, 0.500, 0.833)
Se (0.500, 0.000, 0.590)
Se (0.500, 0.500, 0.090)



Run c
ScFeSe2 | PBE | relaxed

Results
**Total moment**: 6.01 μB/cell
**Volume**: 19.201 A^3/atom
**DOS at the Fermi energy**: 8.81 states/eV per cell

a = 6.729 Å, b = 3.833 Å, c = 6.343 Å
α = 90.00°, β = 110.13°, γ = 90.00°
Element x y z (fractional)
Sc (0.000, 0.000, 0.000)
Sc (0.500, 0.500, 0.000)
Fe (0.000, 0.500, 0.500)
Fe (0.500, 0.000, 0.500)
Se (0.246, 0.000, 0.735)
Se (0.254, 0.500, 0.265)
Se (0.746, 0.500, 0.735)
Se (0.754, 0.000, 0.265)



Run d
ScFeSe2 | PBE | relaxed

Results
**Total moment**: 8.85 μB/cell
**Volume**: 22.042 A^3/atom
**DOS at the Fermi energy**: 4.73 states/eV per cell

a = 3.541 Å, b = 3.541 Å, c = 24.355 Å
α = 90.00°, β = 90.00°, γ = 120.00°
Element x y z (fractional)
Sc (0.000, 0.000, 0.000)
Sc (0.333, 0.667, 0.667)
Sc (0.667, 0.333, 0.333)
Fe (0.000, 0.000, 0.500)
Fe (0.333, 0.667, 0.167)
Fe (0.667, 0.333, 0.833)
Se (0.000, 0.000, 0.108)
Se (0.000, 0.000, 0.892)
Se (0.333, 0.667, 0.559)
Se (0.333, 0.667, 0.774)
Se (0.667, 0.333, 0.226)
Se (0.667, 0.333, 0.441)



Best to worst by energy: run b, run c, run a, run d.



Run a
ScFeSe2 | PBE | relaxed

Results
**Total moment**: 10.56 μB/cell
**Volume**: 18.057 A^3/atom
**DOS at the Fermi energy**: 15.22 states/eV per cell

a = 6.611 Å, b = 6.611 Å, c = 6.611 Å
α = 90.00°, β = 90.00°, γ = 90.00°
Element x y z (fractional)
Sc (0.000, 0.000, 0.000)
Sc (0.000, 0.500, 0.500)
Sc (0.500, 0.000, 0.500)
Sc (0.500, 0.500, 0.000)
Fe (0.250, 0.250, 0.250)
Fe (0.250, 0.750, 0.750)
Fe (0.750, 0.250, 0.750)
Fe (0.750, 0.750, 0.250)
Se (0.000, 0.000, 0.500)
Se (0.000, 0.500, 0.000)
Se (0.250, 0.250, 0.750)
Se (0.250, 0.750, 0.250)
Se (0.500, 0.000, 0.000)
Se (0.500, 0.500, 0.500)
Se (0.750, 0.250, 0.250)
Se (0.750, 0.750, 0.750)



Run b
ScFeSe2 | PBE | relaxed

Results
**Total moment**: 5.91 μB/cell
**Volume**: 18.765 A^3/atom
**DOS at the Fermi energy**: 2.37 states/eV per cell

a = 3.507 Å, b = 3.540 Å, c = 12.095 Å
α = 90.00°, β = 90.00°, γ = 90.00°
Element x y z (fractional)
Sc (0.000, 0.000, 0.000)
Sc (0.500, 0.500, 0.500)
Fe (0.000, 0.500, 0.256)
Fe (0.500, 0.000, 0.756)
Se (0.000, 0.000, 0.592)
Se (0.000, 0.500, 0.832)
Se (0.500, 0.000, 0.332)
Se (0.500, 0.500, 0.092)



Run c
ScFeSe2 | PBE | relaxed

Results
**Total moment**: 12.00 μB/cell
**Volume**: 24.470 A^3/atom
**DOS at the Fermi energy**: 23.17 states/eV per cell

a = 5.718 Å, b = 5.718 Å, c = 11.975 Å
α = 90.00°, β = 90.00°, γ = 90.00°
Element x y z (fractional)
Sc (0.000, 0.000, 0.000)
Sc (0.000, 0.500, 0.250)
Sc (0.500, 0.000, 0.750)
Sc (0.500, 0.500, 0.500)
Fe (0.000, 0.000, 0.500)
Fe (0.000, 0.500, 0.750)
Fe (0.500, 0.000, 0.250)
Fe (0.500, 0.500, 0.000)
Se (0.223, 0.250, 0.625)
Se (0.250, 0.723, 0.875)
Se (0.250, 0.777, 0.375)
Se (0.277, 0.250, 0.125)
Se (0.723, 0.750, 0.125)
Se (0.750, 0.223, 0.375)
Se (0.750, 0.277, 0.875)
Se (0.777, 0.750, 0.625)



Run d
ScFeSe2 | PBE | relaxed

Results
**Total moment**: 2.90 μB/cell
**Volume**: 19.898 A^3/atom
**DOS at the Fermi energy**: 2.91 states/eV per cell

a = 3.597 Å, b = 3.597 Å, c = 6.152 Å
α = 90.00°, β = 90.00°, γ = 90.00°
Element x y z (fractional)
Sc (0.000, 0.000, 0.000)
Fe (0.500, 0.500, 0.703)
Se (0.000, 0.000, 0.577)
Se (0.500, 0.500, 0.122)



Best to worst by energy: run d, run b, run c, run a.



Run a
ScFeSe2 | PBE | relaxed

Results
**Total moment**: 9.00 μB/cell
**Volume**: 24.864 A^3/atom
**DOS at the Fermi energy**: 7.71 states/eV per cell

a = 3.856 Å, b = 3.856 Å, c = 23.176 Å
α = 90.00°, β = 90.00°, γ = 120.00°
Element x y z (fractional)
Sc (0.000, 0.000, 0.000)
Sc (0.333, 0.667, 0.667)
Sc (0.667, 0.333, 0.333)
Fe (0.000, 0.000, 0.500)
Fe (0.333, 0.667, 0.167)
Fe (0.667, 0.333, 0.833)
Se (0.000, 0.000, 0.399)
Se (0.000, 0.000, 0.601)
Se (0.333, 0.667, 0.066)
Se (0.333, 0.667, 0.268)
Se (0.667, 0.333, 0.732)
Se (0.667, 0.333, 0.934)



Run b
ScFeSe2 | PBE | relaxed

Results
**Total moment**: 0.00 μB/cell
**Volume**: 16.654 A^3/atom
**DOS at the Fermi energy**: 17.83 states/eV per cell

a = 6.435 Å, b = 6.435 Å, c = 6.435 Å
α = 90.00°, β = 90.00°, γ = 90.00°
Element x y z (fractional)
Sc (0.000, 0.000, 0.000)
Sc (0.000, 0.500, 0.500)
Sc (0.500, 0.000, 0.500)
Sc (0.500, 0.500, 0.000)
Fe (0.000, 0.000, 0.500)
Fe (0.000, 0.500, 0.000)
Fe (0.500, 0.000, 0.000)
Fe (0.500, 0.500, 0.500)
Se (0.250, 0.250, 0.250)
Se (0.250, 0.250, 0.750)
Se (0.250, 0.750, 0.250)
Se (0.250, 0.750, 0.750)
Se (0.750, 0.250, 0.250)
Se (0.750, 0.250, 0.750)
Se (0.750, 0.750, 0.250)
Se (0.750, 0.750, 0.750)



Best to worst by energy: run a, run b.



Run a
ScFe3Se | PBE | relaxed

Results
**Total moment**: 5.34 μB/cell
**Volume**: 16.802 A^3/atom
**DOS at the Fermi energy**: 8.27 states/eV per cell

a = 4.380 Å, b = 4.380 Å, c = 4.380 Å
α = 90.00°, β = 90.00°, γ = 90.00°
Element x y z (fractional)
Sc (0.000, 0.000, 0.000)
Fe (0.000, 0.500, 0.500)
Fe (0.500, 0.000, 0.500)
Fe (0.500, 0.500, 0.000)
Se (0.500, 0.500, 0.500)



Run b
ScFe3Se | PBE | relaxed

Results
**Total moment**: 6.83 μB/cell
**Volume**: 18.612 A^3/atom
**DOS at the Fermi energy**: 3.43 states/eV per cell

a = 4.532 Å, b = 4.532 Å, c = 4.532 Å
α = 90.00°, β = 90.00°, γ = 90.00°
Element x y z (fractional)
Sc (0.000, 0.000, 0.000)
Fe (0.000, 0.000, 0.500)
Fe (0.000, 0.500, 0.000)
Fe (0.500, 0.000, 0.000)
Se (0.500, 0.500, 0.500)



Best to worst by energy: run a, run b.



Run a
Sc4FeSe | PBE | relaxed

Results
**Total moment**: 0.00 μB/cell
**Volume**: 19.843 A^3/atom
**DOS at the Fermi energy**: 24.39 states/eV per cell

a = 7.162 Å, b = 3.772 Å, c = 17.626 Å
α = 90.00°, β = 90.00°, γ = 90.00°
Element x y z (fractional)
Sc (0.002, 0.250, 0.069)
Sc (0.062, 0.250, 0.785)
Sc (0.119, 0.250, 0.356)
Sc (0.143, 0.250, 0.541)
Sc (0.357, 0.750, 0.041)
Sc (0.381, 0.750, 0.856)
Sc (0.438, 0.750, 0.285)
Sc (0.498, 0.750, 0.569)
Sc (0.502, 0.250, 0.431)
Sc (0.562, 0.250, 0.715)
Sc (0.619, 0.250, 0.144)
Sc (0.643, 0.250, 0.959)
Sc (0.857, 0.750, 0.459)
Sc (0.881, 0.750, 0.644)
Sc (0.938, 0.750, 0.215)
Sc (0.998, 0.750, 0.931)
Fe (0.250, 0.250, 0.942)
Fe (0.250, 0.750, 0.442)
Fe (0.750, 0.250, 0.558)
Fe (0.750, 0.750, 0.058)
Se (0.237, 0.250, 0.198)
Se (0.263, 0.750, 0.698)
Se (0.737, 0.250, 0.302)
Se (0.763, 0.750, 0.802)



Run b
Sc4FeSe | PBE | relaxed

Results
**Total moment**: 1.87 μB/cell
**Volume**: 22.015 A^3/atom
**DOS at the Fermi energy**: 8.68 states/eV per cell

a = 5.716 Å, b = 5.716 Å, c = 5.716 Å
α = 60.00°, β = 60.00°, γ = 60.00°
Element x y z (fractional)
Sc (0.376, 0.376, 0.376)
Sc (0.376, 0.376, 0.871)
Sc (0.376, 0.871, 0.376)
Sc (0.871, 0.376, 0.376)
Fe (0.750, 0.750, 0.750)
Se (0.000, 0.000, 0.000)



Best to worst by energy: run a, run b.



Run a
Sc3FeSi | PBE | relaxed

Results
**Total moment**: 0.84 μB/cell
**Volume**: 24.021 A^3/atom
**DOS at the Fermi energy**: 5.09 states/eV per cell

a = 4.934 Å, b = 4.934 Å, c = 4.934 Å
α = 90.00°, β = 90.00°, γ = 90.00°
Element x y z (fractional)
Sc (0.000, 0.000, 0.500)
Sc (0.000, 0.500, 0.000)
Sc (0.500, 0.000, 0.000)
Fe (0.500, 0.500, 0.500)
Si (0.000, 0.000, 0.000)



Run b
Sc3FeSi | PBE | relaxed

Results
**Total moment**: 0.00 μB/cell
**Volume**: 20.738 A^3/atom
**DOS at the Fermi energy**: 3.06 states/eV per cell

a = 4.698 Å, b = 4.698 Å, c = 4.698 Å
α = 90.00°, β = 90.00°, γ = 90.00°
Element x y z (fractional)
Sc (0.000, 0.000, 0.500)
Sc (0.000, 0.500, 0.000)
Sc (0.500, 0.000, 0.000)
Fe (0.000, 0.000, 0.000)
Si (0.500, 0.500, 0.500)



Best to worst by energy: run b, run a.



Run a
Sc3Fe2Si3 | PBE | relaxed

Results
**Total moment**: 0.00 μB/cell
**Volume**: 15.790 A^3/atom
**DOS at the Fermi energy**: 11.56 states/eV per cell

a = 5.220 Å, b = 5.220 Å, c = 13.799 Å
α = 90.00°, β = 90.00°, γ = 137.78°
Element x y z (fractional)
Sc (0.031, 0.969, 0.750)
Sc (0.150, 0.850, 0.554)
Sc (0.150, 0.850, 0.946)
Sc (0.850, 0.150, 0.054)
Sc (0.850, 0.150, 0.446)
Sc (0.969, 0.031, 0.250)
Fe (0.185, 0.815, 0.147)
Fe (0.185, 0.815, 0.353)
Fe (0.815, 0.185, 0.647)
Fe (0.815, 0.185, 0.853)
Si (0.304, 0.696, 0.750)
Si (0.441, 0.559, 0.595)
Si (0.441, 0.559, 0.905)
Si (0.559, 0.441, 0.095)
Si (0.559, 0.441, 0.405)
Si (0.696, 0.304, 0.250)



Run b
Sc3Fe2Si3 | PBE | relaxed

Results
**Total moment**: 0.00 μB/cell
**Volume**: 15.750 A^3/atom
**DOS at the Fermi energy**: 7.63 states/eV per cell

a = 5.335 Å, b = 5.335 Å, c = 12.882 Å
α = 90.00°, β = 90.00°, γ = 136.59°
Element x y z (fractional)
Sc (0.081, 0.919, 0.613)
Sc (0.081, 0.919, 0.887)
Sc (0.361, 0.639, 0.750)
Sc (0.639, 0.361, 0.250)
Sc (0.919, 0.081, 0.113)
Sc (0.919, 0.081, 0.387)
Fe (0.214, 0.786, 0.082)
Fe (0.214, 0.786, 0.418)
Fe (0.786, 0.214, 0.582)
Fe (0.786, 0.214, 0.918)
Si (0.328, 0.672, 0.250)
Si (0.383, 0.617, 0.541)
Si (0.383, 0.617, 0.959)
Si (0.617, 0.383, 0.041)
Si (0.617, 0.383, 0.459)
Si (0.672, 0.328, 0.750)



Best to worst by energy: run b, run a.



Run a
ScFe3Si | PBE | relaxed

Results
**Total moment**: 10.20 μB/cell
**Volume**: 15.385 A^3/atom
**DOS at the Fermi energy**: 10.25 states/eV per cell

a = 6.134 Å, b = 6.134 Å, c = 6.134 Å
α = 131.10°, β = 88.56°, γ = 111.58°
Element x y z (fractional)
Sc (0.349, 0.099, 0.250)
Sc (0.651, 0.901, 0.750)
Fe (0.136, 0.000, 0.636)
Fe (0.136, 0.500, 0.136)
Fe (0.253, 0.503, 0.750)
Fe (0.747, 0.497, 0.250)
Fe (0.864, 0.000, 0.364)
Fe (0.864, 0.500, 0.864)
Si (0.000, 0.500, 0.500)
Si (0.500, 0.500, 0.000)



Run b
ScFe3Si | PBE | relaxed

Results
**Total moment**: 4.82 μB/cell
**Volume**: 15.322 A^3/atom
**DOS at the Fermi energy**: 3.22 states/eV per cell

a = 4.247 Å, b = 4.247 Å, c = 4.247 Å
α = 90.00°, β = 90.00°, γ = 90.00°
Element x y z (fractional)
Sc (0.000, 0.000, 0.000)
Fe (0.000, 0.500, 0.500)
Fe (0.500, 0.000, 0.500)
Fe (0.500, 0.500, 0.000)
Si (0.500, 0.500, 0.500)



Best to worst by energy: run a, run b.



Run a
Sc2Fe3Si5 | PBE | relaxed

Results
**Total moment**: 0.07 μB/cell
**Volume**: 13.588 A^3/atom
**DOS at the Fermi energy**: 23.86 states/eV per cell

a = 10.155 Å, b = 10.155 Å, c = 5.270 Å
α = 90.00°, β = 90.00°, γ = 90.00°
Element x y z (fractional)
Sc (0.069, 0.236, 0.000)
Sc (0.236, 0.931, 0.000)
Sc (0.264, 0.431, 0.500)
Sc (0.431, 0.736, 0.500)
Sc (0.569, 0.264, 0.500)
Sc (0.736, 0.569, 0.500)
Sc (0.764, 0.069, 0.000)
Sc (0.931, 0.764, 0.000)
Fe (0.000, 0.500, 0.250)
Fe (0.000, 0.500, 0.750)
Fe (0.122, 0.856, 0.500)
Fe (0.144, 0.122, 0.500)
Fe (0.356, 0.622, 0.000)
Fe (0.378, 0.356, 0.000)
Fe (0.500, 0.000, 0.250)
Fe (0.500, 0.000, 0.750)
Fe (0.622, 0.644, 0.000)
Fe (0.644, 0.378, 0.000)
Fe (0.856, 0.878, 0.500)
Fe (0.878, 0.144, 0.500)
Si (0.000, 0.000, 0.246)
Si (0.000, 0.000, 0.754)
Si (0.028, 0.318, 0.500)
Si (0.178, 0.678, 0.250)
Si (0.178, 0.678, 0.750)
Si (0.182, 0.472, 0.000)
Si (0.318, 0.972, 0.500)
Si (0.322, 0.178, 0.250)
Si (0.322, 0.178, 0.750)
Si (0.472, 0.818, 0.000)
Si (0.500, 0.500, 0.254)
Si (0.500, 0.500, 0.746)
Si (0.528, 0.182, 0.000)
Si (0.678, 0.822, 0.250)
Si (0.678, 0.822, 0.750)
Si (0.682, 0.028, 0.500)
Si (0.818, 0.528, 0.000)
Si (0.822, 0.322, 0.250)
Si (0.822, 0.322, 0.750)
Si (0.972, 0.682, 0.500)



Run b
Sc2Fe3Si5 | PBE | relaxed

Results
**Total moment**: 0.00 μB/cell
**Volume**: 13.767 A^3/atom
**DOS at the Fermi energy**: 11.19 states/eV per cell

a = 7.823 Å, b = 7.823 Å, c = 7.823 Å
α = 109.17°, β = 83.94°, γ = 141.02°
Element x y z (fractional)
Sc (0.144, 0.230, 0.374)
Sc (0.356, 0.730, 0.085)
Sc (0.644, 0.270, 0.915)
Sc (0.856, 0.770, 0.626)
Fe (0.148, 0.913, 0.061)
Fe (0.250, 0.750, 0.500)
Fe (0.352, 0.413, 0.766)
Fe (0.648, 0.587, 0.234)
Fe (0.750, 0.250, 0.500)
Fe (0.852, 0.087, 0.939)
Si (0.044, 0.750, 0.294)
Si (0.088, 0.679, 0.767)
Si (0.250, 0.250, 0.000)
Si (0.412, 0.179, 0.591)
Si (0.456, 0.750, 0.706)
Si (0.544, 0.250, 0.294)
Si (0.588, 0.821, 0.409)
Si (0.750, 0.750, 0.000)
Si (0.912, 0.321, 0.233)
Si (0.956, 0.250, 0.706)



Best to worst by energy: run a, run b.